No. 1
Material: Ba2LiGeI
Method: DFT, GGA-PBE
State: relaxed

Cell lengths 6.4771, 6.4771, 4.8952 Å; angles 90.00, 90.00, 90.00 degrees
Space group P4/mmm (No. 123)
Unique sites:
Ba 0.0000 0.5000 0.0000 x2
Li 0.0000 0.0000 0.5000 x1
Ge 0.0000 0.0000 0.0000 x1
I 0.5000 0.5000 0.5000 x1

Calculated values
* DOS(E_F): 1.3 states/eV/cell
* total moment: 0.000 μB per formula unit
* E_form (uncorrected): -67 kJ/mol of atoms

No. 2
Material: BaGeMoI2
Method: DFT, GGA-PBE
State: relaxed

Cell lengths 6.0710, 6.0710, 5.0784 Å; angles 90.00, 90.00, 90.00 degrees
Space group P4/mmm (No. 123)
Unique sites:
Ba 0.0000 0.0000 0.0000 x1
Ge 0.5000 0.5000 0.5000 x1
Mo 0.5000 0.5000 0.0000 x1
I 0.0000 0.5000 0.5000 x2

Calculated values
* DOS(E_F): 1.9 states/eV/cell
* total moment: 4.055 μB per formula unit
* E_form (uncorrected): 23 kJ/mol of atoms

No. 3
Material: BaGeIN2
Method: DFT, GGA-PBE
State: relaxed

Cell lengths 4.4457, 4.4457, 5.6763 Å; angles 90.00, 90.00, 90.00 degrees
Space group P4/mmm (No. 123)
Unique sites:
Ba 0.0000 0.0000 0.0000 x1
Ge 0.5000 0.5000 0.5000 x1
I 0.5000 0.5000 0.0000 x1
N 0.0000 0.5000 0.5000 x2

Calculated values
* DOS(E_F): 3.4 states/eV/cell
* total moment: 1.442 μB per formula unit
* E_form (uncorrected): 63 kJ/mol of atoms